Entry from Alexandria via LeMat-Bulk: crystalline YFe4Tc at its relaxed geometry (PBE).

Cell: 4.947 4.947 4.947 Å, 60.00 60.00 60.00°
Site moments in Bohr magnetons follow the coordinates.
Atoms (fractional coordinates):
Fe (0.376, 0.871, 0.376)  2.10
Fe (0.871, 0.376, 0.376)  2.10
Fe (0.376, 0.376, 0.871)  2.10
Fe (0.376, 0.376, 0.376)  2.10
Tc (0.750, 0.750, 0.750)  0.65
Y (0.000, 0.000, 0.000)  -0.14

Results
Density of states at the Fermi level: 7.724 states/eV per cell
VASP energy: -0.306 Ha/atom

=====

Entry from Alexandria via LeMat-Bulk: crystalline YFe3Tc3 at its relaxed geometry (PBE).

Cell: 6.373 6.373 6.373 Å, 90.00 90.00 90.00°
Atoms (fractional coordinates):
Tc (0.500, 0.000, 0.250)
Tc (0.000, 0.250, 0.500)
Tc (0.000, 0.750, 0.500)
Tc (0.500, 0.000, 0.750)
Tc (0.250, 0.500, 0.000)
Tc (0.750, 0.500, 0.000)
Y (0.500, 0.500, 0.500)
Y (0.000, 0.000, 0.000)
Fe (0.000, 0.500, 0.750)
Fe (0.500, 0.750, 0.000)
Fe (0.250, 0.000, 0.500)
Fe (0.000, 0.500, 0.250)
Fe (0.750, 0.000, 0.500)
Fe (0.500, 0.250, 0.000)

Results
Density of states at the Fermi level: 21.871 states/eV per cell
VASP energy: -0.306 Ha/atom

=====

Entry from Alexandria via LeMat-Bulk: crystalline YFe2Tc2 at its relaxed geometry (PBE).

Cell: 4.054 4.054 5.696 Å, 69.15 69.15 90.00°
Site moments in Bohr magnetons follow the coordinates.
Atoms (fractional coordinates):
Fe (0.386, 0.386, 0.229)  0.56
Fe (0.614, 0.614, 0.771)  0.56
Tc (0.250, 0.750, 0.500)  0.02
Tc (0.750, 0.250, 0.500)  0.02
Y (0.000, 0.000, 0.000)  -0.01

Results
Density of states at the Fermi level: 6.174 states/eV per cell
Offset from the most stable computed form: 0 meV per atom

=====

Entry from Alexandria via LeMat-Bulk: crystalline ZnFe3Tc at its relaxed geometry (PBE).

Cell: 4.469 4.469 4.469 Å, 90.00 90.00 90.00°
Site moments in Bohr magnetons follow the coordinates.
Atoms (fractional coordinates):
Fe (0.000, 0.500, 0.000)  2.12
Fe (0.000, 0.000, 0.500)  2.29
Fe (0.500, 0.000, 0.000)  1.72
Zn (0.500, 0.500, 0.500)  -0.03
Tc (0.000, 0.000, 0.000)  -0.24

Results
Density of states at the Fermi level: 7.941 states/eV per cell
Offset from the most stable computed form: 0 meV per atom

=====

Q: density of states at the Fermi level of number 3 (YFe2Tc2)?
A: 6.174 states/eV per cell

=====

Q: What is the formula in the second record?
A: YFe3Tc3